Compound: PmAlTl
Source: the Open Quantum Materials Database
Functional: PBE
Structure: optimized geometry

Lattice parameters (Å, degrees): 5.069 5.069 5.069 60.00 60.00 60.00
Positions (direct):
Pm1 0.000 0.000 0.000
Tl1 0.750 0.750 0.750
Al1 0.250 0.250 0.250

Values from the calculation:
* crystal system: cubic
* SG: F-43m
* spin magnetization: 0.00 μB/atom
* offset from the most stable computed form: 0.251 eV per atom
* theoretical density: 6.8 g/cm³